{
  "formula": "Pm3BeI3",
  "functional": "GGA-PBE",
  "state": "optimized geometry",
  "lattice_angstrom": [[-6.1479, 6.1479, 6.1479], [6.1479, -6.1479, 6.1479], [6.1479, 6.1479, -6.1479]],
  "species": ["Pm", "Pm", "Pm", "Pm", "Pm", "Pm", "Pm", "Pm", "Pm", "Pm", "Pm", "Pm", "Be", "Be", "Be", "Be", "I", "I", "I", "I", "I", "I", "I", "I", "I", "I", "I", "I"],
  "fractional_positions": [[0.0184, 0.0369, 0.2684], [0.0184, 0.4816, 0.7500], [0.0369, 0.2684, 0.0184], [0.2316, 0.2684, 0.7500], [0.2316, 0.4631, 0.4816], [0.2684, 0.0184, 0.0369], [0.2684, 0.7500, 0.2316], [0.4631, 0.4816, 0.2316], [0.4816, 0.2316, 0.4631], [0.4816, 0.7500, 0.0184], [0.7500, 0.0184, 0.4816], [0.7500, 0.2316, 0.2684], [0.0000, 0.2500, 0.5000], [0.2500, 0.2500, 0.2500], [0.2500, 0.5000, 0.0000], [0.5000, 0.0000, 0.2500], [0.2500, 0.7592, 0.7408], [0.2500, 0.9908, 0.5092], [0.5092, 0.2500, 0.9908], [0.5092, 0.7592, 0.5184], [0.5184, 0.5092, 0.7592], [0.7408, 0.2500, 0.7592], [0.7408, 0.9908, 0.9816], [0.7592, 0.5184, 0.5092], [0.7592, 0.7408, 0.2500], [0.9816, 0.7408, 0.9908], [0.9908, 0.5092, 0.2500], [0.9908, 0.9816, 0.7408]],
  "raw_formation_energy_ev_per_atom": -0.821
}